[1]
Density functional theory data (PBE-GGA) for a relaxed SmTeNO crystal.

Calculated values
Volume in Å³/atom: 19.0
VASP energy in hartree per atom: -0.2466
ΔE to the lowest computed polymorph in meV/atom: 0.0

Lattice parameters (Å, degrees): 5.7623 9.2037 5.7303 90.00 90.00 90.00
With the nearest neighbours (Å) after each atom.
Space group Pca2_1 (No. 29)
Symmetry-distinct sites (fractional):
Sm: 0.0293 0.1180 0.0000  4 O 2.31-2.33, 2 N 2.50-2.52
Te: 0.0481 0.3914 0.4594  2 N 2.04-2.08
N: 0.2215 0.2931 0.7276  2 Te 2.04-2.08
O: 0.2487 0.9769 0.2499  4 Sm 2.31-2.33

=====

[2]
Density functional theory data (PBE-GGA) for a relaxed TlAgPtO3 crystal.

Calculated values
Volume in Å³/atom: 15.2
VASP energy in hartree per atom: -0.1738

Lattice parameters (Å, degrees): 10.8097 3.2026 10.5251 90.00 90.00 90.00
With the nearest neighbours (Å) after each atom.
Space group Pnma (No. 62)
Symmetry-distinct sites (fractional):
Tl: 0.2026 0.2500 0.0924  3 O 2.37
Ag: 0.0786 0.7500 0.9086  1 O 2.27
Pt: 0.0013 0.2500 0.6272  6 O 1.98-2.10
O: 0.0864 0.7500 0.2073  1 Pt 1.98
O: 0.0926 0.2500 0.4507  3 Pt 2.07-2.10
O: 0.1022 0.7500 0.6941  2 Pt 2.06, 1 Ag 2.27

=====

[3]
Density functional theory data (PBE-GGA) for a relaxed NaCoGeTe3 crystal.

Calculated values
Volume in Å³/atom: 27.1
VASP energy in hartree per atom: -0.1470

Lattice parameters (Å, degrees): 7.5022 3.9814 11.3579 90.00 106.51 90.00
With the nearest neighbours (Å) after each atom.
Space group P2_1/m (No. 11)
Symmetry-distinct sites (fractional):
Na: 0.0371 0.2500 0.1798  5 Te 3.16-3.25
Co: 0.4569 0.7500 0.8477  6 Te 2.57-2.63
Ge: 0.3870 0.2500 0.5385  3 Te 2.73-2.76, 2 Ge 2.91
Te: 0.2093 0.7500 0.6309  1 Co 2.63, 2 Ge 2.76
Te: 0.3105 0.2500 0.9366  3 Co 2.57-2.61
Te: 0.3781 0.7500 0.2286  2 Co 2.62, 1 Ge 2.73

=====

[4]
Density functional theory data (PBE-GGA) for a relaxed TmMgAgTeSe2 crystal.

Calculated values
Volume in Å³/atom: 24.4
VASP energy in hartree per atom: -0.1518

Lattice parameters (Å, degrees): 3.9249 13.6301 10.9448 90.00 90.00 90.00
With the nearest neighbours (Å) after each atom.
Space group Cmcm (No. 63)
Symmetry-distinct sites (fractional):
Tm: 0.0000 0.0000 0.0000  4 Se 2.85
Mg: 0.0000 0.2037 0.2500  4 Se 2.93, 2 Te 3.04, 2 Ag 3.19
Ag: 0.0000 0.4808 0.7500  2 Se 2.61, 2 Te 2.79
Te: 0.0000 0.1260 0.7500  2 Ag 2.79, 2 Mg 3.04
Se: 0.0000 0.3583 0.5669  1 Ag 2.61, 2 Tm 2.85

=====

[5]
Density functional theory data (PBE-GGA) for a relaxed Dy3Mg3PdAu2 crystal.

Calculated values
Volume in Å³/atom: 22.4
VASP energy in hartree per atom: -0.1484

Lattice parameters (Å, degrees): 7.5587 7.5587 4.0742 90.00 90.00 120.00
With the nearest neighbours (Å) after each atom.
Space group P-62m (No. 189)
Symmetry-distinct sites (fractional):
Dy: 0.0000 0.4104 0.0000  4 Au 3.06, 1 Pd 3.10, 6 Mg 3.33-3.38
Mg: 0.0000 0.7592 0.5000  2 Pd 2.73, 2 Au 2.93
Pd: 0.0000 0.0000 0.0000  6 Mg 2.73
Au: 0.3333 0.6667 0.5000  3 Mg 2.93, 6 Dy 3.06

=====

[6]
Density functional theory data (PBE-GGA) for a relaxed LiTaNiGe crystal.

Calculated values
Volume in Å³/atom: 13.8
VASP energy in hartree per atom: -0.2163
ΔE to the lowest computed polymorph in meV/atom: 69.3

Lattice parameters (Å, degrees): 6.0494 6.0494 6.0494 90.00 90.00 90.00
With the nearest neighbours (Å) after each atom.
Space group F-43m (No. 216)
Symmetry-distinct sites (fractional):
Li: 0.0000 0.0000 0.0000  4 Ta 2.62, 4 Ni 2.62
Ta: 0.2500 0.2500 0.2500  4 Ge 2.62, 4 Li 2.62
Ni: 0.2500 0.2500 0.7500  4 Ge 2.62, 4 Li 2.62
Ge: 0.0000 0.0000 0.5000  4 Ta 2.62, 4 Ni 2.62